Record 1
A plane-wave DFT calculation with PBE-GGA was carried out for a relaxed TbDy5Ga4 crystal.

abc: 3.680 8.731 8.797
angles: 95.60 102.07 90.00
Atoms (fractional coordinates):
Ga  0.022  0.257  0.045
Ga  0.978  0.743  0.955
Ga  0.314  0.941  0.628
Ga  0.686  0.059  0.372
Dy  0.500  0.500  0.000
Dy  0.850  0.219  0.699
Dy  0.150  0.781  0.301
Dy  0.187  0.346  0.375
Dy  0.813  0.654  0.625
Tb  0.500  0.000  0.000

Summary:
Density of states at the Fermi level = 9.09 states/eV/cell
Energy of formation = -2.87 eV per formula unit


Record 2
A plane-wave DFT calculation with PBE-GGA was carried out for a relaxed CaIrRh2 crystal.

abc: 3.242 3.242 6.649
angles: 90.00 90.00 90.00
Atoms (fractional coordinates):
Ca  0.000  0.000  0.497
Rh  0.000  0.000  0.996
Rh  0.500  0.500  0.208
Ir  0.500  0.500  0.799

Summary:
Energy above the most stable polymorph in this dataset = 230 meV/atom
Density of states at the Fermi level = 6.26 states/eV/cell
Energy of formation = 0.53 eV per formula unit


Record 3
A plane-wave DFT calculation with PBE-GGA was carried out for a relaxed ThAl3Pt3 crystal.

abc: 6.747 6.747 6.747
angles: 90.00 90.00 90.00
Atoms (fractional coordinates):
Pt  0.000  0.500  0.250
Pt  0.250  0.000  0.500
Pt  0.500  0.250  0.000
Pt  0.750  0.000  0.500
Pt  0.000  0.500  0.750
Pt  0.500  0.750  0.000
Al  0.250  0.500  0.000
Al  0.750  0.500  0.000
Al  0.500  0.000  0.750
Al  0.000  0.250  0.500
Al  0.000  0.750  0.500
Al  0.500  0.000  0.250
Th  0.500  0.500  0.500
Th  0.000  0.000  0.000

Summary:
Energy above the most stable polymorph in this dataset = 364 meV/atom
Density of states at the Fermi level = 11.14 states/eV/cell
Energy of formation = -3.77 eV per formula unit


Record 4
A plane-wave DFT calculation with PBE-GGA was carried out for a relaxed Li4BI2 crystal.

abc: 4.596 4.596 8.181
angles: 73.69 73.69 90.00
Atoms (fractional coordinates):
Li  0.156  0.156  0.688
Li  0.500  0.000  0.000
Li  0.000  0.500  0.000
Li  0.844  0.844  0.312
I  0.347  0.347  0.306
I  0.653  0.653  0.694
B  0.000  0.000  0.000

Summary:
ΔE_f (raw) = -0.217 eV per atom


Record 5
A plane-wave DFT calculation with PBE-GGA was carried out for a relaxed Y2AgAs crystal.

abc: 6.204 6.204 6.204
angles: 141.31 139.88 56.96
Atoms (fractional coordinates):
Y  0.004  0.004  0.000
Y  0.749  0.249  0.500
As  0.259  0.759  0.500
Ag  0.489  0.489  0.000

Summary:
Density of states at the Fermi level = 2.13 states/eV/cell
Energy of formation = -2.53 eV per formula unit


Record 6
A plane-wave DFT calculation with PBE-GGA was carried out for a relaxed CeNp2Si2Ir7 crystal.

abc: 4.043 4.043 13.108
angles: 84.70 84.70 89.15
Atoms (fractional coordinates):
Si  0.426  0.426  0.262
Si  0.574  0.574  0.738
Ir  0.336  0.336  0.441
Ir  0.500  0.500  0.000
Ir  0.047  0.548  0.835
Ir  0.452  0.953  0.165
Ir  0.664  0.664  0.559
Ir  0.953  0.452  0.165
Ir  0.548  0.047  0.835
Np  0.088  0.088  0.648
Np  0.912  0.912  0.352
Ce  0.000  0.000  0.000

Summary:
Density of states at the Fermi level = 20.08 states/eV/cell
ΔE_f (raw) = -0.529 eV per atom